Material: NdCuHg5
Method: DFT, PBE
State: optimized geometry

Values from the calculation:
The value obtained for the calculated formation energy is -0.187 eV/atom. As for the space group: No. 123. Its calculated total energy is -11.68 eV/cell. The density of states at the Fermi level is 5.1 states/eV per cell.

```
7
Lattice="4.748 0.000 0.000 0.000 4.748 0.000 0.000 0.000 7.529" Properties=species:S:1:pos:R:3 pbc="T T T"
Nd 0.000 0.000 0.000
Cu 0.000 0.000 3.765
Hg 0.000 2.374 2.264
Hg 0.000 2.374 5.266
Hg 2.374 0.000 2.264
Hg 2.374 0.000 5.266
Hg 2.374 2.374 0.000
```

=====

Material: NdCuHgPb
Method: DFT, PBE
State: optimized geometry

Values from the calculation:
The value obtained for the calculated formation energy is -0.199 eV/atom. As for the space group: No. 216. Its calculated total energy is -13.67 eV/cell. The density of states at the Fermi level is 1.1 states/eV per cell.

```
4
Lattice="0.000 3.653 3.653 3.653 0.000 3.653 3.653 3.653 0.000" Properties=species:S:1:pos:R:3 pbc="T T T"
Nd 0.000 0.000 0.000
Cu 1.826 1.826 1.826
Hg 5.479 5.479 5.479
Pb 3.653 3.653 3.653
```

=====

Material: Nd2Cu2HgPd5
Method: DFT, PBE
State: optimized geometry

Values from the calculation:
The value obtained for the calculated formation energy is -0.571 eV/atom. As for the space group: No. 127. Its calculated total energy is -99.40 eV/cell. The density of states at the Fermi level is 6.7 states/eV per cell.

```
20
Lattice="9.564 0.000 0.000 0.000 9.564 0.000 0.000 0.000 4.005" Properties=species:S:1:pos:R:3 pbc="T T T"
Nd 1.709 3.073 0.000
Nd 3.073 7.855 0.000
Nd 6.491 1.709 0.000
Nd 7.855 6.491 0.000
Cu 1.124 5.906 0.000
Cu 3.658 1.124 0.000
Cu 5.906 8.440 0.000
Cu 8.440 3.658 0.000
Hg 0.000 0.000 0.000
Hg 4.782 4.782 0.000
Pd 0.000 4.782 2.002
Pd 0.660 7.554 2.002
Pd 2.010 0.660 2.002
Pd 2.772 5.442 2.002
Pd 4.122 2.772 2.002
Pd 4.782 0.000 2.002
Pd 5.442 6.792 2.002
Pd 6.792 4.122 2.002
Pd 7.554 8.904 2.002
Pd 8.904 2.010 2.002
```

=====

Material: NdScCuHg
Method: DFT, PBE
State: optimized geometry

Values from the calculation:
The value obtained for the calculated formation energy is -0.254 eV/atom. As for the space group: No. 216. Its calculated total energy is -16.51 eV/cell. The density of states at the Fermi level is 3.7 states/eV per cell.

```
4
Lattice="0.000 3.586 3.586 3.586 0.000 3.586 3.586 3.586 0.000" Properties=species:S:1:pos:R:3 pbc="T T T"
Nd 0.000 0.000 0.000
Sc 3.586 3.586 3.586
Cu 5.379 5.379 5.379
Hg 1.793 1.793 1.793
```

=====

Q: Which of these has the lowest calculated total energy?
A: Nd2Cu2HgPd5

=====

Q: Which of these has the lowest calculated total energy?
A: Nd2Cu2HgPd5

=====

Repeat the third record exactly.
Material: Nd2Cu2HgPd5
Method: DFT, PBE
State: optimized geometry

Values from the calculation:
The value obtained for the calculated formation energy is -0.571 eV/atom. As for the space group: No. 127. Its calculated total energy is -99.40 eV/cell. The density of states at the Fermi level is 6.7 states/eV per cell.

```
20
Lattice="9.564 0.000 0.000 0.000 9.564 0.000 0.000 0.000 4.005" Properties=species:S:1:pos:R:3 pbc="T T T"
Nd 1.709 3.073 0.000
Nd 3.073 7.855 0.000
Nd 6.491 1.709 0.000
Nd 7.855 6.491 0.000
Cu 1.124 5.906 0.000
Cu 3.658 1.124 0.000
Cu 5.906 8.440 0.000
Cu 8.440 3.658 0.000
Hg 0.000 0.000 0.000
Hg 4.782 4.782 0.000
Pd 0.000 4.782 2.002
Pd 0.660 7.554 2.002
Pd 2.010 0.660 2.002
Pd 2.772 5.442 2.002
Pd 4.122 2.772 2.002
Pd 4.782 0.000 2.002
Pd 5.442 6.792 2.002
Pd 6.792 4.122 2.002
Pd 7.554 8.904 2.002
Pd 8.904 2.010 2.002
```